# 1
VASP calculation (PBE-GGA) on a geometry-optimized As2PbSe structure.

Calculated values
space-group type	P4mm (99)
energy relative to the lowest polymorph listed for this composition	246	meV per atom
total moment	0.0	μB/cell
formation energy (no corrections)	0.08	eV/atom

```
4
Lattice="3.5480 0.0000 0.0000 0.0000 3.5480 0.0000 0.0000 0.0000 8.3170" Properties=species:S:1:pos:R:3 pbc="T T T"
Se 1.7740 1.7740 5.9379
As 0.0000 0.0000 0.5798
As 1.7740 1.7740 1.5744
Pb 0.0000 0.0000 4.3833
```



# 2
VASP calculation (PBE-GGA) on a geometry-optimized AsPbSe3 structure.

Calculated values
space-group type	Pm-3m (221)
total moment	0.0	μB/cell
formation energy (no corrections)	0.06	eV/atom

```
5
Lattice="-3.6116 -3.4239 -1.1176 3.2483 -2.4127 -3.1054 1.5559 -2.9106 3.8889" Properties=species:S:1:pos:R:3 pbc="T T T"
Se 0.7780 -1.4553 1.9444
Se 1.6241 -1.2064 -1.5527
Se -1.8058 -1.7120 -0.5588
As 0.0000 0.0000 0.0000
Pb 0.5963 -4.3736 -0.1671
```



# 3
VASP calculation (PBE-GGA) on a geometry-optimized As2Pb2Se structure.

Calculated values
space-group type	P4/mbm (127)
energy relative to the lowest polymorph listed for this composition	239	meV per atom
total moment	0.0	μB/cell
formation energy (no corrections)	0.13	eV/atom

```
10
Lattice="-6.8058 -2.2594 -3.0564 3.6481 -5.6424 -3.9521 -0.5912 -2.7050 3.3161" Properties=species:S:1:pos:R:3 pbc="T T T"
Se 0.0000 0.0000 0.0000
Se -1.5788 -3.9509 -3.5043
As -3.1921 -5.6598 -5.1858
As -3.9435 -2.4824 -2.7280
As 0.7858 -5.4194 -4.2805
As 0.0344 -2.2421 -1.8227
Pb -1.6229 -7.6157 -3.6875
Pb -2.1260 -2.9911 -0.0049
Pb 1.0534 -5.3623 -1.3723
Pb -4.8024 -5.2445 -2.3201
```



# 4
VASP calculation (PBE-GGA) on a geometry-optimized As5Pb3Se12 structure.

Calculated values
space-group type	Ia-3d (230)
total moment	0.0	μB/cell
formation energy (no corrections)	-0.13	eV/atom

```
80
Lattice="-1.9187 11.0406 -8.9327 -12.6390 -3.9832 5.4552 8.7684 3.9265 10.6333" Properties=species:S:1:pos:R:3 pbc="T T T"
Se 2.5295 12.1605 -1.0665
Se -6.0457 3.4381 10.3437
Se -2.6245 7.4349 -5.3481
Se -3.2193 5.4952 9.4727
Se -8.3188 -1.1766 8.2223
Se -4.1487 8.3736 -0.4807
Se -2.0682 7.9287 2.8064
Se -4.0883 10.3622 -3.4842
Se -7.4667 5.3240 7.2202
Se -5.1350 2.9024 -0.2462
Se -0.6003 1.0547 2.3964
Se -1.2650 10.3925 -1.2467
Se -4.6585 0.0405 2.1555
Se 2.8712 6.4120 3.2505
Se -8.6605 4.5720 3.9054
Se -1.7010 0.6218 10.6401
Se -4.1126 6.3185 5.8250
Se -1.1308 10.9435 5.0004
Se -8.2066 -0.0803 2.7682
Se 4.8803 13.1403 1.7083
Se -1.6406 2.6103 7.6366
Se 2.8778 8.1223 6.6938
Se -0.6543 8.0815 7.4021
Se 1.9922 1.9203 10.7139
Se -5.3478 5.6848 2.5006
Se -7.2060 6.1641 -1.2241
Se 2.4173 11.0643 4.3877
Se -4.5244 0.5914 8.4025
Se -7.4985 8.8311 1.9942
Se -3.1648 3.5491 12.5039
Se -5.1890 9.9292 4.7594
Se 1.4167 4.8198 8.3799
Se -8.6671 2.8617 0.4621
Se -12.8066 5.5731 -2.0824
Se -3.7211 3.0553 4.3495
Se -7.0178 2.0226 5.8498
Se 0.2564 7.5459 -3.1878
Se 7.0173 5.4109 9.2383
Se -0.4415 5.2992 4.6553
Se -7.7815 9.0637 -3.5580
Se -10.5547 6.5905 0.7600
Se 1.2284 8.9614 1.3060
Se 1.7092 2.1528 5.1616
Se -10.6697 -2.1564 5.4476
Se 1.6774 5.6600 -0.0644
Se -2.5700 5.4888 -2.3168
Se 4.7654 4.3934 6.3959
Se -1.6767 4.6655 1.3309
As -10.4427 -0.2343 3.8693
As 3.4248 7.4836 0.8503
As -10.0662 4.3967 1.8487
As 4.6534 11.2183 3.2865
As -6.3195 -1.9916 2.7276
As -2.8947 5.4920 3.5779
As -3.0020 10.1159 3.5684
As 0.0000 0.0000 0.0000
As 0.2609 3.7205 6.4584
As 0.6416 11.1188 0.1935
As -2.7832 3.6352 -0.6568
As -2.7874 0.8680 3.5875
As 4.2769 6.5872 5.3071
As -7.2789 3.5287 -1.7387
As -6.0503 7.2634 0.6975
As -3.0061 7.3487 7.8127
As 4.3842 1.9633 5.3167
As -0.9594 5.5203 -4.4663
As -6.4309 -0.1349 6.9623
As -1.9353 -0.0283 8.0443
Pb -5.0826 7.2776 -3.3246
Pb -4.7227 0.8397 11.6317
Pb -1.0708 7.3770 -0.2316
Pb 4.2728 3.8200 9.5514
Pb -6.4268 2.6324 2.7181
Pb -4.7185 3.6069 7.3875
Pb -1.0667 10.1443 -4.4759
Pb -7.0179 7.2492 4.7196
Pb -10.0621 7.1639 -2.3955
Pb 0.6375 8.3516 4.4378
Pb 1.2286 3.7347 2.4362
Pb -0.7067 3.7064 10.4805
```



# 5
VASP calculation (PBE-GGA) on a geometry-optimized As2PbSe structure.

Calculated values
space-group type	I4/mmm (139)
energy relative to the lowest polymorph listed for this composition	430	meV per atom
total moment	0.0	μB/cell
formation energy (no corrections)	0.27	eV/atom

```
4
Lattice="-1.4316 -5.2830 3.4093 4.0628 -4.7564 1.5665 -0.6257 6.4180 -0.0314" Properties=species:S:1:pos:R:3 pbc="T T T"
Pb 2.3763 -1.6790 2.0115
Se -0.3709 -1.9424 2.9329
As 1.3156 -5.0197 2.4879
As 0.0000 0.0000 0.0000
```



# 6
VASP calculation (PBE-GGA) on a geometry-optimized AsPbSe structure.

Calculated values
space-group type	Fmm2 (42)
energy relative to the lowest polymorph listed for this composition	72	meV per atom
total moment	0.0	μB/cell
formation energy (no corrections)	0.09	eV/atom

```
3
Lattice="-1.8369 4.6202 3.3503 -4.7425 3.4429 1.2753 -1.6572 -1.3688 3.0845" Properties=species:S:1:pos:R:3 pbc="T T T"
Se -4.7113 4.4836 4.0407
Pb -3.3166 1.8110 3.6040
As -1.8659 -0.9690 3.1498
```



# 7
VASP calculation (PBE-GGA) on a geometry-optimized As2PbSe structure.

Calculated values
space-group type	Imm2 (44)
energy relative to the lowest polymorph listed for this composition	264	meV per atom
total moment	0.0	μB/cell
formation energy (no corrections)	0.10	eV/atom

```
4
Lattice="5.9271 -0.0045 0.0551 1.8905 5.6175 -0.0551 -3.0804 -3.9603 3.1560" Properties=species:S:1:pos:R:3 pbc="T T T"
As 0.0490 0.0352 0.0000
As 0.8130 1.8395 1.5505
Se 3.5581 -0.4496 1.6056
Pb 4.2259 3.0342 0.0000
```



# 8
VASP calculation (PBE-GGA) on a geometry-optimized As2PbSe structure.

Calculated values
space-group type	Cmm2 (35)
energy relative to the lowest polymorph listed for this composition	368	meV per atom
total moment	0.0	μB/cell
formation energy (no corrections)	0.20	eV/atom

```
4
Lattice="-3.0422 1.8881 -0.6637 -0.6108 -3.5424 0.5820 -0.8834 1.5351 8.4159" Properties=species:S:1:pos:R:3 pbc="T T T"
Se -2.4853 0.3178 6.2361
As -0.0234 0.0407 0.2230
As -2.0067 -0.5140 1.6763
Pb -0.4625 0.8038 4.4068
```



# 9
VASP calculation (PBE-GGA) on a geometry-optimized AsPbSe structure.

Calculated values
space-group type	Imm2 (44)
energy relative to the lowest polymorph listed for this composition	0	meV per atom
total moment	0.0	μB/cell
formation energy (no corrections)	0.02	eV/atom

```
3
Lattice="5.9409 0.0028 -0.0053 3.0408 5.1037 0.0053 -4.3890 -2.7324 2.9266" Properties=species:S:1:pos:R:3 pbc="T T T"
Se 6.4196 3.6499 0.0000
As 8.5196 4.8438 0.0000
Pb 3.0241 1.7194 0.0000
```



# 10
VASP calculation (PBE-GGA) on a geometry-optimized As3PbSe structure.

Calculated values
space-group type	Pm-3m (221)
energy relative to the lowest polymorph listed for this composition	0	meV per atom
total moment	0.0	μB/cell
formation energy (no corrections)	0.59	eV/atom

```
5
Lattice="5.0832 0.0000 0.0000 0.0000 5.0832 0.0000 0.0000 0.0000 5.0832" Properties=species:S:1:pos:R:3 pbc="T T T"
As 2.5416 0.0000 0.0000
As 0.0000 0.0000 2.5416
As 0.0000 2.5416 0.0000
Pb 2.5416 2.5416 2.5416
Se 0.0000 0.0000 0.0000
```



# 11
VASP calculation (PBE-GGA) on a geometry-optimized As2PbSe structure.

Calculated values
space-group type	Pm (6)
energy relative to the lowest polymorph listed for this composition	29	meV per atom
total moment	0.0	μB/cell
formation energy (no corrections)	-0.13	eV/atom

```
4
Lattice="-2.4979 2.6670 1.4749 -2.5074 -3.3921 1.8873 0.6914 -3.2409 7.0312" Properties=species:S:1:pos:R:3 pbc="T T T"
As -2.2958 -3.6234 2.6640
As -2.0170 -0.0937 2.0174
Se -2.9140 -3.7032 7.0253
Pb -0.5027 -3.2542 5.0332
```



# 12
VASP calculation (PBE-GGA) on a geometry-optimized AsPb5Se4 structure.

Calculated values
space-group type	I4 (79)
total moment	0.0	μB/cell
formation energy (no corrections)	-0.41	eV/atom

```
10
Lattice="-4.7628 -3.0282 2.3611 1.1929 -7.4274 0.8064 0.0860 -0.4259 7.5532" Properties=species:S:1:pos:R:3 pbc="T T T"
Pb 0.2711 -4.9020 2.2010
Pb -0.3906 -7.1263 5.9396
Pb -3.1023 -3.7610 4.7857
Pb -3.7640 -5.9853 8.5242
Pb -2.3892 -1.5191 1.1844
Se -0.6895 -2.2502 3.6615
Se -2.1361 -6.3595 3.3994
Se -1.3552 -4.5267 7.3251
Se -2.8018 -8.6360 7.0629
As -0.0086 -0.0054 0.0042
```